# CdCoCuBi | the Open Quantum Materials Database | GGA-PBE | relaxed
data_CdCoCuBi
_cell_length_a 6.541
_cell_length_b 6.541
_cell_length_c 6.541
_cell_angle_alpha 90.00
_cell_angle_beta 90.00
_cell_angle_gamma 90.00
_space_group_name_H-M_alt 'F -4 3 m'
_space_group_IT_number 216
_space_group_name_Hall 'F -4 2 3'
loop_
_atom_site_label
_atom_site_fract_x
_atom_site_fract_y
_atom_site_fract_z
_atom_site_occupancy
Cd1 0.000 0.000 0.000 1
Co1 0.250 0.250 0.750 1
Cu1 0.250 0.250 0.250 1
Bi1 0.000 0.000 0.500 1
# offset from the most stable computed form	0.000	eV per atom
# uncorrected energy	-3.575	eV per atom



# Y3Si2Ni4Ge2 | the Open Quantum Materials Database | GGA-PBE | relaxed
data_Y3Si2Ni4Ge2
_cell_length_a 4.027
_cell_length_b 6.676
_cell_length_c 13.553
_cell_angle_alpha 90.00
_cell_angle_beta 90.00
_cell_angle_gamma 90.00
_space_group_name_H-M_alt 'I m m m'
_space_group_IT_number 71
_space_group_name_Hall '-I 2 2'
loop_
_atom_site_label
_atom_site_fract_x
_atom_site_fract_y
_atom_site_fract_z
_atom_site_occupancy
Y1 0.000 0.000 0.000 1
Y2 0.000 0.500 0.129 1
Si1 0.000 0.000 0.218 1
Ni1 0.000 0.304 0.318 1
Ge1 0.000 0.194 0.500 1
# uncorrected energy	-6.402	eV per atom